Compound: AlNF2
Source: the Alexandria database
Functional: PBEsol
Structure: relaxed Values from VASP.

Cell and atoms, written as Quantum ESPRESSO input:
```
&SYSTEM
  ibrav = 0, nat = 8, ntyp = 3
/
ATOMIC_SPECIES
N 14.01 N.upf
Al 26.98 Al.upf
F 19.00 F.upf
CELL_PARAMETERS angstrom
5.1498 0.0000 0.0000
-2.5749 5.1581 -0.0771
0.0000 2.6369 4.4235
ATOMIC_POSITIONS angstrom
N 2.5749 1.3184 2.2118
N 0.0000 3.2383 1.0673
Al 0.0000 0.0000 0.0000
Al 2.5749 4.5567 3.2791
F 1.2875 3.5968 3.8513
F 3.8624 3.5968 3.8513
F 2.5749 4.8574 1.6010
F 2.5749 6.1758 3.8128
```

Summary:
Fermi-level density of states: 1.246 states/eV/cell
energy relative to the lowest polymorph listed for this composition: 0.0 meV/atom
symmetry: I4_1/amd, No. 141
formation energy from raw total energies: -0.78 eV per atom
final energy: -4.901 eV per atom
size of the total moment: 0.5001 μB per atom

Compound: AlNF2
Source: the Alexandria database
Functional: PBEsol
Structure: relaxed Values from VASP.

Cell and atoms, written as Quantum ESPRESSO input:
```
&SYSTEM
  ibrav = 0, nat = 4, ntyp = 3
/
ATOMIC_SPECIES
N 14.01 N.upf
Al 26.98 Al.upf
F 19.00 F.upf
CELL_PARAMETERS angstrom
-3.0682 0.7562 0.6538
-1.2738 -0.7606 2.8657
0.6349 6.2190 3.7497
ATOMIC_POSITIONS angstrom
N 0.0000 0.0000 0.0000
Al -1.8536 3.1073 3.6346
F -3.5430 2.3826 4.5082
F -0.1641 3.8320 2.7610
```

Summary:
Fermi-level density of states: 1.473 states/eV/cell
energy relative to the lowest polymorph listed for this composition: 392.2 meV/atom
symmetry: R-3m, No. 166
formation energy from raw total energies: -0.39 eV per atom
final energy: -4.509 eV per atom
size of the total moment: 0.6773 μB per atom

Compound: AlPdN2F
Source: the Alexandria database
Functional: PBEsol
Structure: relaxed Values from VASP.

Cell and atoms, written as Quantum ESPRESSO input:
```
&SYSTEM
  ibrav = 0, nat = 5, ntyp = 4
/
ATOMIC_SPECIES
N 14.01 N.upf
Al 26.98 Al.upf
Pd 106.42 Pd.upf
F 19.00 F.upf
CELL_PARAMETERS angstrom
-3.2974 1.0214 -0.2999
-0.4175 -0.2330 3.7965
1.0990 3.6490 0.3448
ATOMIC_POSITIONS angstrom
N 0.5495 1.8245 0.1724
N -0.2087 -0.1165 1.8982
Al 0.0000 0.0000 0.0000
Pd -1.3080 2.2187 1.9207
F -1.6487 0.5107 -0.1500
```

Summary:
Fermi-level density of states: 2.998 states/eV/cell
symmetry: P4/mmm, No. 123
formation energy from raw total energies: -0.12 eV per atom
final energy: -5.922 eV per atom
size of the total moment: 0.0001 μB per atom

Compound: AlPtNF2
Source: the Alexandria database
Functional: PBEsol
Structure: relaxed Values from VASP.

Cell and atoms, written as Quantum ESPRESSO input:
```
&SYSTEM
  ibrav = 0, nat = 5, ntyp = 4
/
ATOMIC_SPECIES
N 14.01 N.upf
Al 26.98 Al.upf
Pt 195.08 Pt.upf
F 19.00 F.upf
CELL_PARAMETERS angstrom
3.6460 0.0000 0.0000
0.0000 4.5311 0.0000
0.0000 0.0000 4.5311
ATOMIC_POSITIONS angstrom
N 1.8230 0.0000 0.0000
Al 1.8230 2.2655 2.2655
Pt 0.0000 0.0000 0.0000
F 0.0000 0.0000 2.2655
F 0.0000 2.2655 0.0000
```

Summary:
Fermi-level density of states: 1.851 states/eV/cell
symmetry: P4/mmm, No. 123
formation energy from raw total energies: -0.21 eV per atom
final energy: -4.897 eV per atom
size of the total moment: 0.0000 μB per atom

Compound: AlSNF2
Source: the Alexandria database
Functional: PBEsol
Structure: relaxed Values from VASP.

Cell and atoms, written as Quantum ESPRESSO input:
```
&SYSTEM
  ibrav = 0, nat = 5, ntyp = 4
/
ATOMIC_SPECIES
S 32.06 S.upf
N 14.01 N.upf
Al 26.98 Al.upf
F 19.00 F.upf
CELL_PARAMETERS angstrom
-2.7035 -0.4190 -1.8110
-1.5875 -2.9558 3.0535
-2.0215 3.3924 2.2329
ATOMIC_POSITIONS angstrom
S 0.0000 0.0000 0.0000
N -1.3517 -0.2095 -0.9055
Al -3.1562 0.0088 1.7377
F -1.0108 1.6962 1.1164
F -0.7937 -1.4779 1.5268
```

Summary:
Fermi-level density of states: 1.484 states/eV/cell
symmetry: P4/mmm, No. 123
formation energy from raw total energies: -0.17 eV per atom
final energy: -4.338 eV per atom
size of the total moment: 0.0000 μB per atom

Compound: ScAlN2F
Source: the Alexandria database
Functional: PBEsol
Structure: relaxed Values from VASP.

Cell and atoms, written as Quantum ESPRESSO input:
```
&SYSTEM
  ibrav = 0, nat = 5, ntyp = 4
/
ATOMIC_SPECIES
Sc 44.96 Sc.upf
N 14.01 N.upf
Al 26.98 Al.upf
F 19.00 F.upf
CELL_PARAMETERS angstrom
3.5782 0.0000 0.0000
0.0000 3.7535 0.0000
0.0000 0.0000 3.7535
ATOMIC_POSITIONS angstrom
Sc 1.7891 1.8767 1.8767
N 0.0000 0.0000 1.8767
N 0.0000 1.8767 0.0000
Al 0.0000 0.0000 0.0000
F 1.7891 0.0000 0.0000
```

Summary:
Fermi-level density of states: 1.278 states/eV/cell
symmetry: P4/mmm, No. 123
formation energy from raw total energies: -1.42 eV per atom
final energy: -7.358 eV per atom
size of the total moment: 0.0000 μB per atom

Compound: AlTeN2F
Source: the Alexandria database
Functional: PBEsol
Structure: relaxed Values from VASP.

Cell and atoms, written as Quantum ESPRESSO input:
```
&SYSTEM
  ibrav = 0, nat = 5, ntyp = 4
/
ATOMIC_SPECIES
N 14.01 N.upf
Te 127.60 Te.upf
Al 26.98 Al.upf
F 19.00 F.upf
CELL_PARAMETERS angstrom
-1.6374 -3.5793 1.0370
3.6895 -1.7162 -0.0977
0.5420 0.9331 4.0765
ATOMIC_POSITIONS angstrom
N 1.8448 -0.8581 -0.0489
N -0.8187 -1.7896 0.5185
Te 0.0000 0.0000 0.0000
Al 1.2971 -2.1812 2.5079
F 0.2710 0.4665 2.0382
```

Summary:
Fermi-level density of states: 2.534 states/eV/cell
symmetry: P4/mmm, No. 123
formation energy from raw total energies: 0.59 eV per atom
final energy: -4.732 eV per atom
size of the total moment: 0.0001 μB per atom

Compound: Na5Al3F14
Source: the Alexandria database
Functional: PBEsol
Structure: relaxed Values from VASP.

Cell and atoms, written as Quantum ESPRESSO input:
```
&SYSTEM
  ibrav = 0, nat = 44, ntyp = 3
/
ATOMIC_SPECIES
Na 22.99 Na.upf
Al 26.98 Al.upf
F 19.00 F.upf
CELL_PARAMETERS angstrom
-6.9144 0.5990 0.9099
-0.6314 -6.9680 -0.2112
1.3192 -0.4320 10.3095
ATOMIC_POSITIONS angstrom
Na 0.6596 -0.2160 5.1548
Na -3.7729 -3.1845 0.3493
Na -2.0882 -5.3664 2.6664
Na -1.3770 -1.9167 2.7200
Na -5.5093 -4.6683 3.1334
Na -4.7981 -1.2186 3.1870
Na -1.4286 -5.5824 7.8212
Na -0.7174 -2.1327 7.8747
Na -4.8497 -4.8843 8.2882
Na -4.1385 -1.4346 8.3417
Al 0.0000 0.0000 0.0000
Al -3.1133 -3.4005 5.5041
Al -0.3157 -3.4840 -0.1056
Al -3.4572 0.2995 0.4549
Al -2.7976 0.0835 5.6097
Al 0.3439 -3.7000 5.0492
F 0.1178 -4.9863 6.2925
F -6.0256 -1.9191 7.2071
F -0.4287 -4.0293 9.1141
F -4.4928 -6.5549 6.8168
F -1.4151 -0.3505 6.6829
F -2.1398 -1.3614 9.4448
F -3.0865 -5.7672 9.3814
F -4.7976 -3.0992 9.7121
F -6.3444 -1.8147 4.7156
F -0.2010 -4.8819 3.8010
F -5.7980 -2.7716 1.8941
F -1.7339 -0.2461 4.1914
F -4.8116 -6.4505 4.3253
F -4.0868 -5.4396 1.5633
F -3.1402 -1.0338 1.6268
F -1.4290 -3.7018 1.2961
F 0.2281 -0.0747 1.7829
F -3.3415 -3.3258 3.7212
F 1.0910 -0.3573 8.5266
F -2.8852 -3.4752 7.2870
F -0.6497 -1.6846 0.0125
F -5.2455 -0.0465 0.6692
F -2.3004 -6.3225 0.0294
F -3.4500 -1.6305 5.6213
F -2.7767 -5.1705 5.3868
F -6.8962 -4.6844 0.6861
F -4.8724 -3.7490 5.7146
F -1.3543 -3.0520 5.2936
```

Summary:
Fermi-level density of states: 0.000 states/eV/cell
symmetry: P4/mnc, No. 128
formation energy from raw total energies: -3.26 eV per atom
final energy: -5.365 eV per atom
size of the total moment: 0.0000 μB per atom